# 1
{
  "formula": "Li2CaGeCl6",
  "functional": "PBE",
  "state": "relaxed",
  "dos_ef_per_ev_atom": 0.0000,
  "volume_a3_per_fu": 256.7,
  "lattice_angstrom": [[6.205, -6.002, 0.000], [6.205, 6.002, 0.000], [-1.141, 0.000, 6.891]],
  "species": ["Li", "Li", "Li", "Li", "Ca", "Ca", "Ge", "Ge", "Cl", "Cl", "Cl", "Cl", "Cl", "Cl", "Cl", "Cl", "Cl", "Cl", "Cl", "Cl"],
  "frac_coords": [[0.091, 0.265, 0.319], [0.265, 0.091, 0.819], [0.735, 0.909, 0.181], [0.909, 0.735, 0.681], [0.405, 0.595, 0.750], [0.595, 0.405, 0.250], [0.218, 0.782, 0.250], [0.782, 0.218, 0.750], [0.044, 0.207, 0.639], [0.123, 0.644, 0.888], [0.207, 0.044, 0.139], [0.300, 0.455, 0.385], [0.356, 0.877, 0.612], [0.455, 0.300, 0.885], [0.545, 0.700, 0.115], [0.644, 0.123, 0.388], [0.700, 0.545, 0.615], [0.793, 0.956, 0.861], [0.877, 0.356, 0.112], [0.956, 0.793, 0.361]]
}

---

# 2
{
  "formula": "NaCaGeCl5",
  "functional": "PBE",
  "state": "relaxed",
  "dos_ef_per_ev_atom": 0.0000,
  "volume_a3_per_fu": 236.6,
  "lattice_angstrom": [[4.872, -5.385, 0.000], [4.872, 5.385, 0.000], [-3.938, 0.000, 9.017]],
  "species": ["Na", "Na", "Ca", "Ca", "Ge", "Ge", "Cl", "Cl", "Cl", "Cl", "Cl", "Cl", "Cl", "Cl", "Cl", "Cl"],
  "frac_coords": [[0.058, 0.942, 0.750], [0.942, 0.058, 0.250], [0.000, 0.500, 0.000], [0.500, 0.000, 0.500], [0.479, 0.521, 0.750], [0.521, 0.479, 0.250], [0.191, 0.222, 0.084], [0.202, 0.798, 0.250], [0.222, 0.191, 0.584], [0.297, 0.656, 0.910], [0.344, 0.703, 0.590], [0.656, 0.297, 0.410], [0.703, 0.344, 0.090], [0.778, 0.809, 0.416], [0.798, 0.202, 0.750], [0.809, 0.778, 0.916]]
}

---

# 3
{
  "formula": "Ca2GeCl2O2",
  "functional": "PBE",
  "state": "relaxed",
  "volume_a3_per_fu": 149.2,
  "lattice_angstrom": [[6.081, -1.881, 0.000], [6.081, 1.881, 0.000], [-1.421, 0.000, 6.519]],
  "species": ["Ca", "Ca", "Ge", "Cl", "Cl", "O", "O"],
  "frac_coords": [[0.214, 0.214, 0.280], [0.786, 0.786, 0.720], [0.500, 0.500, 0.500], [0.127, 0.127, 0.848], [0.873, 0.873, 0.152], [0.351, 0.351, 0.587], [0.649, 0.649, 0.413]]
}

---

# 4
{
  "formula": "CaGeCl2O",
  "functional": "PBE",
  "state": "relaxed",
  "dos_ef_per_ev_atom": 0.4207,
  "volume_a3_per_fu": 118.2,
  "lattice_angstrom": [[5.292, 0.000, 0.000], [0.000, 5.292, 0.000], [0.000, 0.000, 4.222]],
  "species": ["Ca", "Ge", "Cl", "Cl", "O"],
  "frac_coords": [[0.000, 0.000, 0.000], [0.500, 0.500, 0.500], [0.000, 0.500, 0.000], [0.500, 0.000, 0.000], [0.000, 0.000, 0.500]]
}

---

# 5
{
  "formula": "CaGeCl2O",
  "functional": "PBE",
  "state": "relaxed",
  "dos_ef_per_ev_atom": 0.2876,
  "volume_a3_per_fu": 111.6,
  "lattice_angstrom": [[5.374, 0.000, 0.000], [0.000, 5.374, 0.000], [0.000, 0.000, 3.866]],
  "species": ["Ca", "Ge", "Cl", "Cl", "O"],
  "frac_coords": [[0.000, 0.000, 0.000], [0.500, 0.500, 0.500], [0.000, 0.500, 0.500], [0.500, 0.000, 0.500], [0.500, 0.500, 0.000]]
}

---

# 6
{
  "formula": "CaGeP2Cl",
  "functional": "PBE",
  "state": "relaxed",
  "dos_ef_per_ev_atom": 0.9568,
  "volume_a3_per_fu": 143.6,
  "lattice_angstrom": [[5.340, 0.000, 0.000], [0.000, 5.340, 0.000], [0.000, 0.000, 5.038]],
  "species": ["Ca", "Ge", "P", "P", "Cl"],
  "frac_coords": [[0.000, 0.000, 0.000], [0.500, 0.500, 0.500], [0.000, 0.500, 0.000], [0.500, 0.000, 0.000], [0.000, 0.000, 0.500]]
}

---

# 7
{
  "formula": "Ca2GePCl",
  "functional": "PBE",
  "state": "relaxed",
  "dos_ef_per_ev_atom": 0.5947,
  "volume_a3_per_fu": 147.5,
  "lattice_angstrom": [[5.676, 0.000, 0.000], [0.000, 5.676, 0.000], [0.000, 0.000, 4.579]],
  "species": ["Ca", "Ca", "Ge", "P", "Cl"],
  "frac_coords": [[0.000, 0.500, 0.000], [0.500, 0.000, 0.000], [0.000, 0.000, 0.000], [0.000, 0.000, 0.500], [0.500, 0.500, 0.500]]
}

---

# 8
{
  "formula": "CaGePCl2",
  "functional": "PBE",
  "state": "relaxed",
  "dos_ef_per_ev_atom": 0.2171,
  "volume_a3_per_fu": 122.8,
  "lattice_angstrom": [[5.023, 0.000, 0.000], [0.000, 5.023, 0.000], [0.000, 0.000, 4.867]],
  "species": ["Ca", "Ge", "P", "Cl", "Cl"],
  "frac_coords": [[0.000, 0.000, 0.000], [0.500, 0.500, 0.500], [0.500, 0.500, 0.000], [0.000, 0.500, 0.500], [0.500, 0.000, 0.500]]
}

---

# 9
{
  "formula": "CaGePCl2",
  "functional": "PBE",
  "state": "relaxed",
  "dos_ef_per_ev_atom": 0.4131,
  "volume_a3_per_fu": 150.8,
  "lattice_angstrom": [[5.039, 0.000, 0.000], [0.000, 5.039, 0.000], [0.000, 0.000, 5.938]],
  "species": ["Ca", "Ge", "P", "Cl", "Cl"],
  "frac_coords": [[0.000, 0.000, 0.000], [0.500, 0.500, 0.500], [0.000, 0.000, 0.500], [0.000, 0.500, 0.000], [0.500, 0.000, 0.000]]
}

---

# 10
{
  "formula": "CaGeP2Cl",
  "functional": "PBE",
  "state": "relaxed",
  "dos_ef_per_ev_atom": 0.5590,
  "volume_a3_per_fu": 116.6,
  "lattice_angstrom": [[4.691, 0.000, 0.000], [0.000, 4.691, 0.000], [0.000, 0.000, 5.297]],
  "species": ["Ca", "Ge", "P", "P", "Cl"],
  "frac_coords": [[0.000, 0.000, 0.000], [0.500, 0.500, 0.500], [0.000, 0.500, 0.500], [0.500, 0.000, 0.500], [0.500, 0.500, 0.000]]
}

---

# 11
{
  "formula": "CaGe2PbCl",
  "functional": "PBE",
  "state": "relaxed",
  "dos_ef_per_ev_atom": 0.9443,
  "volume_a3_per_fu": 160.9,
  "lattice_angstrom": [[5.669, 0.000, 0.000], [0.000, 5.669, 0.000], [0.000, 0.000, 5.007]],
  "species": ["Ca", "Ge", "Ge", "Pb", "Cl"],
  "frac_coords": [[0.000, 0.000, 0.000], [0.000, 0.500, 0.000], [0.500, 0.000, 0.000], [0.500, 0.500, 0.500], [0.000, 0.000, 0.500]]
}

---

# 12
{
  "formula": "Ca2GePbCl8",
  "functional": "PBE",
  "state": "relaxed",
  "dos_ef_per_ev_atom": 0.0000,
  "volume_a3_per_fu": 355.0,
  "lattice_angstrom": [[6.374, 0.000, 0.000], [0.000, 8.442, 0.000], [-0.024, 0.000, 6.597]],
  "species": ["Ca", "Ca", "Ge", "Pb", "Cl", "Cl", "Cl", "Cl", "Cl", "Cl", "Cl", "Cl"],
  "frac_coords": [[0.000, 0.243, 0.000], [0.000, 0.757, 0.000], [0.500, 0.000, 0.500], [0.500, 0.500, 0.500], [0.217, 0.500, 0.155], [0.228, 0.000, 0.176], [0.271, 0.233, 0.672], [0.271, 0.767, 0.672], [0.729, 0.233, 0.328], [0.729, 0.767, 0.328], [0.772, 0.000, 0.824], [0.783, 0.500, 0.845]]
}

---

# 13
{
  "formula": "CaGe2PdCl",
  "functional": "PBE",
  "state": "relaxed",
  "dos_ef_per_ev_atom": 0.8192,
  "volume_a3_per_fu": 159.3,
  "lattice_angstrom": [[5.653, 0.000, 0.000], [0.000, 5.653, 0.000], [0.000, 0.000, 4.985]],
  "species": ["Ca", "Ge", "Ge", "Pd", "Cl"],
  "frac_coords": [[0.000, 0.000, 0.000], [0.000, 0.500, 0.000], [0.500, 0.000, 0.000], [0.000, 0.000, 0.500], [0.500, 0.500, 0.500]]
}

---

# 14
{
  "formula": "CaGe2RuCl",
  "functional": "PBE",
  "state": "relaxed",
  "dos_ef_per_ev_atom": 0.9769,
  "volume_a3_per_fu": 121.6,
  "lattice_angstrom": [[4.688, 0.000, 0.000], [0.000, 4.688, 0.000], [0.000, 0.000, 5.531]],
  "species": ["Ca", "Ge", "Ge", "Ru", "Cl"],
  "frac_coords": [[0.000, 0.000, 0.000], [0.000, 0.500, 0.500], [0.500, 0.000, 0.500], [0.500, 0.500, 0.500], [0.500, 0.500, 0.000]]
}

---

# 15
{
  "formula": "CaGeSCl2",
  "functional": "PBE",
  "state": "relaxed",
  "volume_a3_per_fu": 143.2,
  "lattice_angstrom": [[5.068, 0.000, 0.000], [0.000, 5.068, 0.000], [0.000, 0.000, 5.574]],
  "species": ["Ca", "Ge", "S", "Cl", "Cl"],
  "frac_coords": [[0.000, 0.000, 0.000], [0.500, 0.500, 0.500], [0.000, 0.000, 0.500], [0.000, 0.500, 0.000], [0.500, 0.000, 0.000]]
}

---

# 16
{
  "formula": "CaGeSCl2",
  "functional": "PBE",
  "state": "relaxed",
  "dos_ef_per_ev_atom": 0.0572,
  "volume_a3_per_fu": 129.1,
  "lattice_angstrom": [[4.977, 0.000, 0.000], [0.000, 4.977, 0.000], [0.000, 0.000, 5.210]],
  "species": ["Ca", "Ge", "S", "Cl", "Cl"],
  "frac_coords": [[0.000, 0.000, 0.000], [0.500, 0.500, 0.500], [0.500, 0.500, 0.000], [0.000, 0.500, 0.500], [0.500, 0.000, 0.500]]
}

---

# 17
{
  "formula": "CaSnGeCl6",
  "functional": "PBE",
  "state": "relaxed",
  "dos_ef_per_ev_atom": 0.0000,
  "volume_a3_per_fu": 266.5,
  "lattice_angstrom": [[6.515, 0.000, 0.000], [0.000, 6.515, 0.000], [0.000, 0.000, 12.555]],
  "species": ["Ca", "Ca", "Sn", "Sn", "Ge", "Ge", "Cl", "Cl", "Cl", "Cl", "Cl", "Cl", "Cl", "Cl", "Cl", "Cl", "Cl", "Cl"],
  "frac_coords": [[0.000, 0.000, 0.000], [0.500, 0.500, 0.500], [0.000, 0.000, 0.333], [0.500, 0.500, 0.833], [0.000, 0.000, 0.668], [0.500, 0.500, 0.168], [0.189, 0.189, 0.828], [0.200, 0.200, 0.507], [0.204, 0.204, 0.162], [0.296, 0.704, 0.662], [0.300, 0.700, 0.007], [0.311, 0.689, 0.328], [0.689, 0.311, 0.328], [0.700, 0.300, 0.007], [0.704, 0.296, 0.662], [0.796, 0.796, 0.162], [0.800, 0.800, 0.507], [0.811, 0.811, 0.828]]
}

---

# 18
{
  "formula": "SrCaGe2Cl",
  "functional": "PBE",
  "state": "relaxed",
  "dos_ef_per_ev_atom": 0.5781,
  "volume_a3_per_fu": 151.1,
  "lattice_angstrom": [[5.367, 0.000, 0.000], [0.000, 5.367, 0.000], [0.000, 0.000, 5.244]],
  "species": ["Sr", "Ca", "Ge", "Ge", "Cl"],
  "frac_coords": [[0.000, 0.000, 0.000], [0.500, 0.500, 0.000], [0.000, 0.500, 0.500], [0.500, 0.000, 0.500], [0.000, 0.000, 0.500]]
}

---

# 19
{
  "formula": "SrCaGeCl6",
  "functional": "PBE",
  "state": "relaxed",
  "dos_ef_per_ev_atom": 0.0000,
  "volume_a3_per_fu": 271.1,
  "lattice_angstrom": [[6.528, 0.000, 0.000], [0.000, 6.528, 0.000], [0.000, 0.000, 12.723]],
  "species": ["Sr", "Sr", "Ca", "Ca", "Ge", "Ge", "Cl", "Cl", "Cl", "Cl", "Cl", "Cl", "Cl", "Cl", "Cl", "Cl", "Cl", "Cl"],
  "frac_coords": [[0.000, 0.000, 0.000], [0.500, 0.500, 0.500], [0.000, 0.000, 0.666], [0.500, 0.500, 0.166], [0.000, 0.000, 0.333], [0.500, 0.500, 0.833], [0.186, 0.186, 0.497], [0.199, 0.199, 0.177], [0.205, 0.205, 0.826], [0.295, 0.705, 0.326], [0.301, 0.699, 0.677], [0.314, 0.686, 0.997], [0.686, 0.314, 0.997], [0.699, 0.301, 0.677], [0.705, 0.295, 0.326], [0.795, 0.795, 0.826], [0.801, 0.801, 0.177], [0.814, 0.814, 0.497]]
}

---

# 20
{
  "formula": "CaTaGeCl2",
  "functional": "PBE",
  "state": "relaxed",
  "dos_ef_per_ev_atom": 0.2015,
  "volume_a3_per_fu": 176.8,
  "lattice_angstrom": [[4.858, 0.000, 0.000], [0.000, 4.858, 0.000], [0.000, 0.000, 7.493]],
  "species": ["Ca", "Ta", "Ge", "Cl", "Cl"],
  "frac_coords": [[0.000, 0.000, 0.000], [0.000, 0.000, 0.500], [0.500, 0.500, 0.500], [0.000, 0.500, 0.000], [0.500, 0.000, 0.000]]
}

---

Number 1: formation energy (no corrections) -1.669 eV per atom. Number 2: formation energy (no corrections) -1.595 eV per atom. Number 3: formation energy (no corrections) -2.039 eV per atom. Number 4: formation energy (no corrections) -0.862 eV per atom. Number 5: formation energy (no corrections) -1.146 eV per atom. Number 6: formation energy (no corrections) 0.514 eV per atom. Number 7: formation energy (no corrections) -0.543 eV per atom. Number 8: formation energy (no corrections) -0.612 eV per atom. Number 9: formation energy (no corrections) -0.329 eV per atom. Number 10: formation energy (no corrections) -0.202 eV per atom. Number 11: formation energy (no corrections) 0.179 eV per atom. Number 12: formation energy (no corrections) -1.664 eV per atom. Number 13: formation energy (no corrections) 0.841 eV per atom. Number 14: formation energy (no corrections) -0.191 eV per atom. Number 15: formation energy (no corrections) -0.739 eV per atom. Number 16: formation energy (no corrections) -0.937 eV per atom. Number 17: formation energy (no corrections) -1.373 eV per atom. Number 18: formation energy (no corrections) -0.170 eV per atom. Number 19: formation energy (no corrections) -1.863 eV per atom. Number 20: formation energy (no corrections) 0.352 eV per atom.